Below is crystalline LiTb2CrO5 at its relaxed geometry, with properties calculated at the PBE with a Hubbard U level.

Results
The crystal system is tetragonal. The value obtained for the total moment is 3.00 μB/f.u. The space group is P4/mbm (127). The calculation puts the calculated total energy at -7.35 eV/atom.

The structure in POSCAR format:
```
LiTb2CrO5
1.0
5.6897 0.0000 0.0000
0.0000 6.5061 0.0000
0.0000 0.0000 6.5061
Li Tb Cr O
2 4 2 10
Direct
0.0000 0.5000 0.5000
0.0000 0.0000 0.0000
0.5000 0.6777 0.1777
0.5000 0.1777 0.3223
0.5000 0.8223 0.6777
0.5000 0.3223 0.8223
0.0000 0.0000 0.5000
0.0000 0.5000 0.0000
0.5000 0.5000 0.5000
0.5000 0.0000 0.0000
0.2446 0.1389 0.6389
0.2446 0.8611 0.3611
0.2446 0.3611 0.1389
0.2446 0.6389 0.8611
0.7554 0.1389 0.6389
0.7554 0.6389 0.8611
0.7554 0.8611 0.3611
0.7554 0.3611 0.1389
```